[1]
Computed, not measured: a PBEsol-optimized structure of H9PtN2ClO2 at the SCAN level of DFT.

Cell: 7.564 4.104 19.196 Å, 90.00 110.06 90.00°
Fractional coordinates of all 60 atoms:
H 0.001 0.229 0.239
H 0.001 0.271 0.739
H 0.075 0.031 0.086
H 0.075 0.469 0.586
H 0.186 0.695 0.074
H 0.186 0.805 0.574
H 0.229 0.645 0.660
H 0.229 0.855 0.160
H 0.255 0.244 0.238
H 0.255 0.256 0.738
H 0.268 0.523 0.365
H 0.268 0.977 0.865
H 0.354 0.644 0.834
H 0.354 0.856 0.334
H 0.422 0.730 0.925
H 0.422 0.770 0.425
H 0.478 0.206 0.754
H 0.478 0.294 0.254
H 0.522 0.706 0.746
H 0.522 0.794 0.246
H 0.578 0.230 0.575
H 0.578 0.270 0.075
H 0.646 0.144 0.666
H 0.646 0.356 0.166
H 0.732 0.023 0.135
H 0.732 0.477 0.635
H 0.745 0.744 0.262
H 0.745 0.756 0.762
H 0.771 0.145 0.840
H 0.771 0.355 0.340
H 0.814 0.195 0.426
H 0.814 0.305 0.926
H 0.925 0.531 0.414
H 0.925 0.969 0.914
H 0.999 0.729 0.261
H 0.999 0.771 0.761
Pt 0.091 0.032 0.383
Pt 0.091 0.468 0.883
Pt 0.909 0.532 0.117
Pt 0.909 0.968 0.617
N 0.126 0.694 0.609
N 0.126 0.806 0.109
N 0.309 0.736 0.876
N 0.309 0.764 0.376
N 0.691 0.236 0.624
N 0.691 0.264 0.124
N 0.874 0.194 0.891
N 0.874 0.306 0.391
Cl 0.262 0.178 0.502
Cl 0.262 0.322 0.002
Cl 0.738 0.678 0.998
Cl 0.738 0.822 0.498
O 0.065 0.086 0.722
O 0.065 0.414 0.222
O 0.384 0.121 0.252
O 0.384 0.379 0.752
O 0.616 0.621 0.248
O 0.616 0.879 0.748
O 0.935 0.586 0.778
O 0.935 0.914 0.278

Computed properties:
The final energy is -10.02 eV per atom.

[2]
Computed, not measured: a PBEsol-optimized structure of H12RuSN4Cl2O2 at the SCAN level of DFT.

Cell: 14.094 7.156 9.102 Å, 90.00 90.00 90.00°
Fractional coordinates of all 88 atoms:
H 0.027 0.063 0.151
H 0.027 0.437 0.151
H 0.040 0.518 0.704
H 0.040 0.982 0.704
H 0.061 0.092 0.863
H 0.061 0.408 0.863
H 0.135 0.038 0.446
H 0.135 0.462 0.446
H 0.197 0.053 0.294
H 0.197 0.447 0.294
H 0.232 0.593 0.427
H 0.232 0.907 0.427
H 0.268 0.093 0.927
H 0.268 0.407 0.927
H 0.303 0.553 0.794
H 0.303 0.947 0.794
H 0.365 0.538 0.946
H 0.365 0.962 0.946
H 0.439 0.592 0.363
H 0.439 0.908 0.363
H 0.460 0.018 0.204
H 0.460 0.482 0.204
H 0.473 0.563 0.651
H 0.473 0.937 0.651
H 0.527 0.063 0.349
H 0.527 0.437 0.349
H 0.540 0.518 0.796
H 0.540 0.982 0.796
H 0.561 0.092 0.637
H 0.561 0.408 0.637
H 0.635 0.038 0.054
H 0.635 0.462 0.054
H 0.697 0.053 0.206
H 0.697 0.447 0.206
H 0.732 0.593 0.073
H 0.732 0.907 0.073
H 0.768 0.093 0.573
H 0.768 0.407 0.573
H 0.803 0.553 0.706
H 0.803 0.947 0.706
H 0.865 0.538 0.554
H 0.865 0.962 0.554
H 0.939 0.592 0.137
H 0.939 0.908 0.137
H 0.960 0.018 0.296
H 0.960 0.482 0.296
H 0.973 0.563 0.849
H 0.973 0.937 0.849
Ru 0.087 0.750 0.279
Ru 0.413 0.250 0.779
Ru 0.587 0.750 0.221
Ru 0.913 0.250 0.721
S 0.168 0.750 0.089
S 0.332 0.250 0.589
S 0.668 0.750 0.411
S 0.832 0.250 0.911
N 0.008 0.044 0.794
N 0.008 0.456 0.794
N 0.173 0.540 0.372
N 0.173 0.960 0.372
N 0.327 0.040 0.872
N 0.327 0.460 0.872
N 0.492 0.544 0.294
N 0.492 0.956 0.294
N 0.508 0.044 0.706
N 0.508 0.456 0.706
N 0.673 0.540 0.128
N 0.673 0.960 0.128
N 0.827 0.040 0.628
N 0.827 0.460 0.628
N 0.992 0.544 0.206
N 0.992 0.956 0.206
Cl 0.004 0.750 0.507
Cl 0.150 0.250 0.059
Cl 0.350 0.750 0.559
Cl 0.496 0.250 0.007
Cl 0.504 0.750 0.993
Cl 0.650 0.250 0.441
Cl 0.850 0.750 0.941
Cl 0.996 0.250 0.493
O 0.132 0.750 0.938
O 0.228 0.250 0.598
O 0.272 0.750 0.098
O 0.368 0.250 0.438
O 0.632 0.750 0.562
O 0.728 0.250 0.902
O 0.772 0.750 0.402
O 0.868 0.250 0.062

Computed properties:
The final energy is -7.55 eV per atom.

[3]
Computed, not measured: a PBEsol-optimized structure of H8PdN2Cl6 at the SCAN level of DFT.

Cell: 6.830 6.830 6.830 Å, 60.00 60.00 60.00°
Fractional coordinates of all 17 atoms:
H 0.188 0.188 0.188
H 0.188 0.188 0.436
H 0.188 0.436 0.188
H 0.436 0.188 0.188
H 0.564 0.812 0.812
H 0.812 0.564 0.812
H 0.812 0.812 0.564
H 0.812 0.812 0.812
Pd 0.500 0.500 0.500
N 0.250 0.250 0.250
N 0.750 0.750 0.750
Cl 0.260 0.260 0.740
Cl 0.260 0.740 0.260
Cl 0.260 0.740 0.740
Cl 0.740 0.260 0.260
Cl 0.740 0.260 0.740
Cl 0.740 0.740 0.260

Computed properties:
The final energy is -8.11 eV per atom. The calculation puts the energy above the most stable polymorph in this dataset at 0.0050 eV/atom.

[4]
Computed, not measured: a PBEsol-optimized structure of H8PdN2Cl6 at the SCAN level of DFT.

Cell: 6.827 6.811 12.159 Å, 90.00 123.94 90.00°
Fractional coordinates of all 34 atoms:
H 0.093 0.027 0.245
H 0.093 0.473 0.745
H 0.229 0.059 0.164
H 0.229 0.441 0.664
H 0.272 0.650 0.752
H 0.272 0.850 0.252
H 0.391 0.067 0.332
H 0.391 0.433 0.832
H 0.609 0.567 0.168
H 0.609 0.933 0.668
H 0.728 0.150 0.748
H 0.728 0.350 0.248
H 0.771 0.559 0.336
H 0.771 0.941 0.836
H 0.907 0.527 0.255
H 0.907 0.973 0.755
Pd 0.500 0.000 0.000
Pd 0.500 0.500 0.500
N 0.247 0.001 0.248
N 0.247 0.499 0.748
N 0.753 0.501 0.252
N 0.753 0.999 0.752
Cl 0.242 0.213 0.005
Cl 0.242 0.287 0.505
Cl 0.254 0.514 0.271
Cl 0.254 0.986 0.771
Cl 0.300 0.736 0.013
Cl 0.300 0.764 0.513
Cl 0.700 0.236 0.487
Cl 0.700 0.264 0.987
Cl 0.746 0.014 0.229
Cl 0.746 0.486 0.729
Cl 0.758 0.713 0.495
Cl 0.758 0.787 0.995

Computed properties:
The final energy is -8.12 eV per atom. The calculation puts the energy above the most stable polymorph in this dataset at 0.0000 eV/atom.